Version a
Material: CuBiAu4
Method: DFT, GGA-PBE
State: relaxed

Lattice parameters (Å, degrees): 5.576 5.576 5.576 60.00 60.00 60.00
Atoms (fractional coordinates):
Cu 0.000 0.000 0.000
Bi 0.250 0.250 0.250
Au 0.124 0.625 0.625
Au 0.625 0.124 0.625
Au 0.625 0.625 0.124
Au 0.625 0.625 0.625

Results
space group = F-43m (216)

Version b
Material: CuBiAu4
Method: DFT, GGA-PBE
State: relaxed

Lattice parameters (Å, degrees): 4.030 4.030 7.992 90.00 90.00 90.00
Atoms (fractional coordinates):
Cu 0.000 0.000 0.000
Bi 0.500 0.500 0.500
Au 0.000 0.500 0.212
Au 0.000 0.500 0.788
Au 0.500 0.000 0.212
Au 0.500 0.000 0.788

Results
space group = P4/mmm (123)

Taking the most stable structure as the zero point, the relative energies in kJ/mol of atoms are version a 8.4; version b 0.0.

Version a
Material: Dy5BiAu2
Method: DFT, GGA-PBE
State: relaxed

Lattice parameters (Å, degrees): 10.260 10.260 10.260 137.66 137.66 61.42
Atoms (fractional coordinates):
Dy 0.000 0.000 0.000
Dy 0.004 0.504 0.833
Dy 0.171 0.004 0.500
Dy 0.329 0.829 0.833
Dy 0.496 0.329 0.500
Dy 0.500 0.500 0.000
Dy 0.504 0.671 0.500
Dy 0.671 0.171 0.167
Dy 0.829 0.996 0.500
Dy 0.996 0.496 0.167
Bi 0.250 0.250 0.000
Bi 0.750 0.750 0.000
Au 0.127 0.627 0.755
Au 0.373 0.127 0.500
Au 0.627 0.873 0.500
Au 0.873 0.373 0.245

Results
space group = I4/mcm (140)

Version b
Material: Dy5BiAu2
Method: DFT, GGA-PBE
State: relaxed

Lattice parameters (Å, degrees): 8.740 8.740 8.740 124.48 124.48 82.40
Atoms (fractional coordinates):
Dy 0.000 0.000 0.000
Dy 0.013 0.513 0.808
Dy 0.205 0.013 0.500
Dy 0.295 0.795 0.808
Dy 0.487 0.295 0.500
Dy 0.500 0.500 0.000
Dy 0.513 0.705 0.500
Dy 0.705 0.205 0.192
Dy 0.795 0.987 0.500
Dy 0.987 0.487 0.192
Bi 0.250 0.250 0.000
Bi 0.750 0.750 0.000
Au 0.139 0.361 0.500
Au 0.361 0.861 0.223
Au 0.639 0.139 0.777
Au 0.861 0.639 0.500

Results
space group = I4/mcm (140)

Taking the most stable structure as the zero point, the relative energies in kJ/mol of atoms are version a 36.1; version b 0.0.

Version a
Material: Er4BiAu
Method: DFT, GGA-PBE
State: relaxed

Lattice parameters (Å, degrees): 8.096 8.096 6.173 103.02 103.02 113.05
Atoms (fractional coordinates):
Er 0.071 0.709 0.932
Er 0.203 0.367 0.660
Er 0.291 0.929 0.568
Er 0.367 0.203 0.160
Er 0.633 0.797 0.840
Er 0.709 0.071 0.432
Er 0.797 0.633 0.340
Er 0.929 0.291 0.068
Bi 0.380 0.620 0.250
Bi 0.620 0.380 0.750
Au 0.002 0.998 0.750
Au 0.998 0.002 0.250

Results
space group = C2/c (15)

Version b
Material: Er4BiAu
Method: DFT, GGA-PBE
State: relaxed

Lattice parameters (Å, degrees): 8.333 4.063 19.582 90.00 90.00 90.00
Atoms (fractional coordinates):
Er 0.014 0.250 0.068
Er 0.043 0.750 0.214
Er 0.138 0.750 0.656
Er 0.142 0.750 0.445
Er 0.358 0.250 0.945
Er 0.362 0.250 0.156
Er 0.457 0.250 0.714
Er 0.486 0.750 0.568
Er 0.514 0.250 0.432
Er 0.543 0.750 0.286
Er 0.638 0.750 0.844
Er 0.642 0.750 0.055
Er 0.858 0.250 0.555
Er 0.862 0.250 0.344
Er 0.957 0.250 0.786
Er 0.986 0.750 0.932
Bi 0.240 0.250 0.315
Bi 0.260 0.750 0.815
Bi 0.740 0.250 0.185
Bi 0.760 0.750 0.685
Au 0.229 0.250 0.554
Au 0.271 0.750 0.054
Au 0.729 0.250 0.946
Au 0.771 0.750 0.446

Results
space group = Pnma (62)

Taking the most stable structure as the zero point, the relative energies in kJ/mol of atoms are version a 8.4; version b 0.0.

Version a
Material: ErBiAu4
Method: DFT, GGA-PBE
State: relaxed

Lattice parameters (Å, degrees): 4.844 4.844 6.431 90.00 90.00 120.00
Atoms (fractional coordinates):
Er 0.000 0.000 0.000
Bi 0.000 0.000 0.500
Au 0.333 0.667 0.232
Au 0.333 0.667 0.768
Au 0.667 0.333 0.232
Au 0.667 0.333 0.768

Results
space group = P6/mmm (191)

Version b
Material: ErBiAu4
Method: DFT, GGA-PBE
State: relaxed

Lattice parameters (Å, degrees): 5.678 5.678 5.678 60.00 60.00 60.00
Atoms (fractional coordinates):
Er 0.000 0.000 0.000
Bi 0.750 0.750 0.750
Au 0.375 0.375 0.375
Au 0.375 0.375 0.876
Au 0.375 0.876 0.375
Au 0.876 0.375 0.375

Results
space group = F-43m (216)

Taking the most stable structure as the zero point, the relative energies in kJ/mol of atoms are version a 0.0; version b 2.1.

Version a
Material: EuBiAu2
Method: DFT, GGA-PBE
State: relaxed

Lattice parameters (Å, degrees): 5.180 5.180 5.180 60.00 60.00 60.00
Atoms (fractional coordinates):
Eu 0.000 0.000 0.000
Bi 0.500 0.500 0.500
Au 0.250 0.250 0.250
Au 0.750 0.750 0.750

Results
space group = Fm-3m (225)

Version b
Material: EuBiAu2
Method: DFT, GGA-PBE
State: relaxed

Lattice parameters (Å, degrees): 4.796 4.796 4.284 90.00 90.00 90.00
Atoms (fractional coordinates):
Eu 0.000 0.000 0.000
Bi 0.500 0.500 0.000
Au 0.000 0.500 0.500
Au 0.500 0.000 0.500

Results
space group = P4/mmm (123)

Taking the most stable structure as the zero point, the relative energies in kJ/mol of atoms are version a 0.0; version b 6.3.

Version a
Material: Bi2AuF
Method: DFT, GGA-PBE
State: relaxed

Lattice parameters (Å, degrees): 9.016 9.016 9.016 147.70 147.70 46.33
Atoms (fractional coordinates):
Bi 0.070 0.625 0.945
Bi 0.375 0.320 0.445
Bi 0.680 0.125 0.055
Bi 0.875 0.930 0.555
Au 0.250 0.750 0.500
Au 0.500 0.500 0.000
F 0.000 0.000 0.000
F 0.750 0.250 0.500

Results
space group = I-42d (122)

Version b
Material: Bi2AuF
Method: DFT, GGA-PBE
State: relaxed

Lattice parameters (Å, degrees): 4.934 4.934 4.934 60.00 60.00 60.00
Atoms (fractional coordinates):
Bi 0.250 0.250 0.250
Bi 0.750 0.750 0.750
Au 0.000 0.000 0.000
F 0.500 0.500 0.500

Results
space group = Fm-3m (225)

Version c
Material: Bi2AuF
Method: DFT, GGA-PBE
State: relaxed

Lattice parameters (Å, degrees): 7.629 7.629 7.629 34.83 34.83 34.83
Atoms (fractional coordinates):
Bi 0.109 0.109 0.109
Bi 0.891 0.891 0.891
Au 0.500 0.500 0.500
F 0.000 0.000 0.000

Results
space group = R-3m (166)

Taking the most stable structure as the zero point, the relative energies in kJ/mol of atoms are version a 17.5; version b 2.3; version c 0.0.

Version a
Material: BiAuF3
Method: DFT, GGA-PBE
State: relaxed

Lattice parameters (Å, degrees): 4.599 4.599 4.599 90.00 90.00 90.00
Atoms (fractional coordinates):
Bi 0.000 0.000 0.000
Au 0.500 0.500 0.500
F 0.000 0.000 0.500
F 0.000 0.500 0.000
F 0.500 0.000 0.000

Results
space group = Pm-3m (221)

Version b
Material: BiAuF3
Method: DFT, GGA-PBE
State: relaxed

Lattice parameters (Å, degrees): 4.496 4.496 4.496 90.00 90.00 90.00
Atoms (fractional coordinates):
Bi 0.000 0.000 0.000
Au 0.500 0.500 0.500
F 0.000 0.500 0.500
F 0.500 0.000 0.500
F 0.500 0.500 0.000

Results
space group = Pm-3m (221)

Taking the most stable structure as the zero point, the relative energies in kJ/mol of atoms are version a 0.0; version b 67.2.

Version a
Material: GaBiAu3
Method: DFT, GGA-PBE
State: relaxed

Lattice parameters (Å, degrees): 5.442 5.442 5.442 90.00 90.00 90.00
Atoms (fractional coordinates):
Ga 0.000 0.000 0.000
Bi 0.500 0.500 0.500
Au 0.000 0.500 0.500
Au 0.500 0.000 0.500
Au 0.500 0.500 0.000

Results
space group = Pm-3m (221)

Version b
Material: GaBiAu3
Method: DFT, GGA-PBE
State: relaxed

Lattice parameters (Å, degrees): 4.905 4.905 4.905 90.00 90.00 90.00
Atoms (fractional coordinates):
Ga 0.000 0.000 0.000
Bi 0.500 0.500 0.500
Au 0.000 0.000 0.500
Au 0.000 0.500 0.000
Au 0.500 0.000 0.000

Results
space group = Pm-3m (221)

Version c
Material: GaBiAu3
Method: DFT, GGA-PBE
State: relaxed

Lattice parameters (Å, degrees): 8.985 6.237 7.715 90.00 98.15 90.00
Atoms (fractional coordinates):
Ga 0.075 0.230 0.351
Ga 0.075 0.270 0.851
Ga 0.925 0.730 0.149
Ga 0.925 0.770 0.649
Bi 0.386 0.626 0.814
Bi 0.386 0.874 0.314
Bi 0.614 0.126 0.686
Bi 0.614 0.374 0.186
Au 0.108 0.648 0.432
Au 0.108 0.852 0.932
Au 0.217 0.023 0.621
Au 0.217 0.477 0.121
Au 0.376 0.147 0.959
Au 0.376 0.353 0.459
Au 0.624 0.647 0.541
Au 0.624 0.853 0.041
Au 0.783 0.523 0.879
Au 0.783 0.977 0.379
Au 0.892 0.148 0.068
Au 0.892 0.352 0.568

Results
space group = P2_1/c (14)

Taking the most stable structure as the zero point, the relative energies in kJ/mol of atoms are version a 55.3; version b 30.2; version c 0.0.

Version a
Material: GaBiAu
Method: DFT, GGA-PBE
State: relaxed

Lattice parameters (Å, degrees): 5.200 5.193 4.062 67.08 66.90 46.02
Atoms (fractional coordinates):
Ga 0.000 0.000 0.000
Bi 0.664 0.664 0.336
Au 0.318 0.318 0.682

Results
space group = Fmm2 (42)

Version b
Material: GaBiAu
Method: DFT, GGA-PBE
State: relaxed

Lattice parameters (Å, degrees): 6.613 6.613 6.613 150.84 150.84 41.71
Atoms (fractional coordinates):
Ga 0.000 0.000 0.000
Bi 0.698 0.698 0.000
Au 0.381 0.381 0.000

Results
space group = I4mm (107)

Version c
Material: GaBiAu
Method: DFT, GGA-PBE
State: relaxed

Lattice parameters (Å, degrees): 4.439 4.439 4.169 90.00 90.00 120.00
Atoms (fractional coordinates):
Ga 0.000 0.000 0.000
Bi 0.333 0.667 0.470
Au 0.667 0.333 0.856

Results
space group = P3m1 (156)

Taking the most stable structure as the zero point, the relative energies in kJ/mol of atoms are version a 11.7; version b 4.5; version c 0.0.

Version a
Material: GaBiAu
Method: DFT, GGA-PBE
State: relaxed

Lattice parameters (Å, degrees): 4.750 4.750 4.750 60.00 60.00 60.00
Atoms (fractional coordinates):
Ga 0.000 0.000 0.000
Bi 0.500 0.500 0.500
Au 0.750 0.750 0.750

Results
space group = F-43m (216)

Version b
Material: GaBiAu
Method: DFT, GGA-PBE
State: relaxed

Lattice parameters (Å, degrees): 4.412 4.454 9.243 89.09 88.72 61.22
Atoms (fractional coordinates):
Ga 0.000 0.000 0.000
Ga 0.351 0.357 0.986
Bi 0.166 0.170 0.698
Bi 0.184 0.189 0.288
Au 0.507 0.512 0.563
Au 0.843 0.847 0.423

Results
space group = P1 (1)

Taking the most stable structure as the zero point, the relative energies in kJ/mol of atoms are version a 0.0; version b 7.3.

Version a
Material: Ga2BiAu2
Method: DFT, GGA-PBE
State: relaxed

Lattice parameters (Å, degrees): 5.834 5.834 5.834 131.83 131.83 70.50
Atoms (fractional coordinates):
Ga 0.129 0.129 0.000
Ga 0.871 0.871 0.000
Bi 0.500 0.500 0.000
Au 0.250 0.750 0.500
Au 0.750 0.250 0.500

Results
space group = I4/mmm (139)

Version b
Material: Ga2BiAu2
Method: DFT, GGA-PBE
State: relaxed

Lattice parameters (Å, degrees): 6.910 6.910 6.910 145.52 145.52 49.56
Atoms (fractional coordinates):
Ga 0.250 0.750 0.500
Ga 0.750 0.250 0.500
Bi 0.000 0.000 0.000
Au 0.387 0.387 0.000
Au 0.613 0.613 0.000

Results
space group = I4/mmm (139)

Taking the most stable structure as the zero point, the relative energies in kJ/mol of atoms are version a 6.9; version b 0.0.